Computed, not measured: a relaxed PmDy6Ho2Er crystal at the GGA-PBE level of DFT.

Lattice parameters (Å, degrees): 9.5088 8.7571 8.7571 117.76 93.68 93.68
Sites, in units of the cell vectors:
Er1 0.2500 0.4096 0.5904
Er2 0.7500 0.5904 0.4096
Ho1 0.5459 0.1992 0.3040
Ho2 0.0459 0.3040 0.1992
Ho3 0.9541 0.6960 0.8008
Ho4 0.4541 0.8008 0.6960
Dy1 0.8812 0.2917 0.5082
Dy2 0.5565 0.7509 0.1232
Dy3 0.6188 0.4918 0.7083
Dy4 0.3164 0.9831 0.4339
Dy5 0.1188 0.7083 0.4918
Dy6 0.1836 0.5661 0.0169
Dy7 0.0565 0.1232 0.7509
Dy8 0.3812 0.5082 0.2917
Dy9 0.4435 0.2491 0.8768
Dy10 0.9435 0.8768 0.2491
Dy11 0.6836 0.0169 0.5661
Dy12 0.8164 0.4339 0.9831
Pm1 0.7500 0.0250 0.9750
Pm2 0.2500 0.9750 0.0250

Results
Magnetic moment: 0.00 Bohr magnetons per cell
Mass density: 8.39 g/cm³
Total energy: -4.488 eV per atom
E_form: 120 meV/atom